# Co2AsClF GGA+U relaxed
# **Calculated total energy**: -3.923 eV per atom
# **Spin magnetization**: 5.00 μB per formula unit
data_Co2AsClF
_space_group_name_H-M_alt 'P 1'
_space_group_IT_number 1
_space_group_name_Hall 'P 1'
_cell_length_a 4.7396
_cell_length_b 4.7396
_cell_length_c 4.1418
_cell_angle_alpha 90.00
_cell_angle_beta 90.00
_cell_angle_gamma 90.00
loop_
_atom_site_label
_atom_site_type_symbol
_atom_site_fract_x
_atom_site_fract_y
_atom_site_fract_z
Co1 Co 0.0000 0.5000 0.0000
Co2 Co 0.5000 0.0000 0.0000
As1 As 0.0000 0.0000 0.0000
Cl1 Cl 0.5000 0.5000 0.5000
F1 F 0.0000 0.0000 0.5000